Entry from the Alexandria database: an optimized crystal structure of NaCeDy (PBE).

The structure in POSCAR format:
```
NaCeDy
1.0
3.757 0.069 0.351
1.936 3.220 0.351
2.085 1.204 16.794
Dy Na Ce
2 2 2
direct
0.082 0.082 0.875 Dy
0.671 0.671 0.433 Dy
0.472 0.472 0.248 Na
0.281 0.281 0.060 Na
0.247 0.247 0.603 Ce
0.507 0.507 0.704 Ce
```

**Formation enthalpy at 0 K**: 0.186 eV/atom
**Volume**: 33.0 A^3/atom


Entry from the Alexandria database: an optimized crystal structure of Na3CeDy2O6 (PBE).

The structure in POSCAR format:
```
Na3CeDy2O6
1.0
6.040 -0.002 0.002
-3.020 5.230 0.002
-1.006 -1.742 5.606
Ce Na O Dy
1 3 6 2
direct
0.000 0.000 0.000 Ce
0.830 0.170 0.500 Na
0.170 0.830 0.500 Na
0.500 0.500 0.500 Na
0.587 0.930 0.788 O
0.930 0.587 0.788 O
0.413 0.070 0.212 O
0.728 0.728 0.213 O
0.070 0.413 0.212 O
0.272 0.272 0.787 O
0.333 0.667 0.000 Dy
0.667 0.333 0.000 Dy
```

**Formation energy without anion corrections**: -2.7194 eV per atom
**Volume**: 14.8 A^3/atom


Entry from the Alexandria database: an optimized crystal structure of Na2CeDyO4 (PBE).

The structure in POSCAR format:
```
Na2CeDyO4
1.0
-2.123 -2.642 -0.899
2.012 0.336 -5.739
3.396 -3.791 3.123
O Na Dy Ce
4 2 1 1
direct
0.500 0.752 0.785 O
0.000 0.730 0.212 O
0.000 0.270 0.788 O
0.500 0.248 0.215 O
0.500 0.000 0.500 Na
0.000 0.500 0.500 Na
0.500 0.500 0.000 Dy
0.000 0.000 0.000 Ce
```

**Formation energy without anion corrections**: -2.6791 eV per atom
**Volume**: 15.0 A^3/atom


Entry from the Alexandria database: an optimized crystal structure of NaCe2DyS4 (PBE).

The structure in POSCAR format:
```
NaCe2DyS4
1.0
-2.495 0.101 -3.122
5.042 -2.463 -4.109
-0.245 -6.942 -0.028
S Dy Ce Na
4 1 2 1
direct
0.500 0.260 0.743 S
0.000 0.255 0.255 S
0.000 0.745 0.745 S
0.500 0.740 0.257 S
0.000 0.500 0.500 Dy
0.000 0.000 0.000 Ce
0.500 0.000 0.500 Ce
0.500 0.500 0.000 Na
```

**Formation energy without anion corrections**: -1.8755 eV per atom
**Volume**: 22.8 A^3/atom


Entry from the Alexandria database: an optimized crystal structure of Na2CeDyS4 (PBE).

The structure in POSCAR format:
```
Na2CeDyS4
1.0
-1.722 -3.326 -1.578
4.556 -4.037 3.539
-5.743 1.087 3.975
Na S Dy Ce
2 4 1 1
direct
0.500 0.000 0.500 Na
0.000 0.500 0.500 Na
0.500 0.251 0.231 S
0.500 0.749 0.769 S
0.000 0.264 0.772 S
0.000 0.736 0.228 S
0.500 0.500 0.000 Dy
0.000 0.000 0.000 Ce
```

**Formation energy without anion corrections**: -1.7844 eV per atom
**Volume**: 23.9 A^3/atom


Entry from the Alexandria database: an optimized crystal structure of Na2CeDy2S6 (PBE).

The structure in POSCAR format:
```
Na2CeDy2S6
1.0
6.949 -0.021 0.078
-3.453 6.030 0.078
-1.238 -2.127 6.638
S Dy Na Ce
6 2 2 1
direct
0.254 0.254 0.279 S
0.405 0.069 0.720 S
0.931 0.595 0.280 S
0.595 0.931 0.280 S
0.746 0.746 0.721 S
0.069 0.405 0.720 S
0.666 0.334 0.500 Dy
0.334 0.666 0.500 Dy
0.832 0.168 0.000 Na
0.168 0.832 0.000 Na
0.000 0.000 0.500 Ce
```

**Formation energy without anion corrections**: -1.8045 eV per atom
**Volume**: 25.4 A^3/atom


Entry from the Alexandria database: an optimized crystal structure of Na2CeDy2Se6 (PBE).

The structure in POSCAR format:
```
Na2CeDy2Se6
1.0
7.199 -0.022 0.079
-3.577 6.247 0.079
-1.284 -2.207 6.965
Se Dy Na Ce
6 2 2 1
direct
0.592 0.927 0.274 Se
0.255 0.255 0.274 Se
0.745 0.745 0.726 Se
0.408 0.073 0.726 Se
0.927 0.592 0.274 Se
0.073 0.408 0.726 Se
0.666 0.334 0.500 Dy
0.334 0.666 0.500 Dy
0.168 0.832 0.000 Na
0.832 0.168 0.000 Na
0.000 0.000 0.500 Ce
```

**Formation energy without anion corrections**: -1.6652 eV per atom
**Volume**: 28.7 A^3/atom


Entry from the Alexandria database: an optimized crystal structure of NaCe2Dy3Se6 (PBE).

The structure in POSCAR format:
```
NaCe2Dy3Se6
1.0
4.103 0.000 0.000
0.000 8.356 0.252
-2.052 -2.458 8.724
Dy Se Ce Na
3 6 2 1
direct
0.834 0.172 0.668 Dy
0.166 0.828 0.332 Dy
0.500 0.500 0.000 Dy
0.668 0.075 0.336 Se
0.002 0.745 0.003 Se
0.998 0.255 0.997 Se
0.663 0.589 0.325 Se
0.337 0.411 0.675 Se
0.332 0.925 0.664 Se
0.831 0.662 0.663 Ce
0.169 0.338 0.337 Ce
0.500 0.000 0.000 Na
```

**Formation energy without anion corrections**: -1.7595 eV per atom
**Volume**: 25.1 A^3/atom


Entry from the Alexandria database: an optimized crystal structure of NaCe2DySe4 (PBE).

The structure in POSCAR format:
```
NaCe2DySe4
1.0
4.165 0.000 0.000
0.000 7.255 -0.151
0.000 2.531 6.788
Se Ce Dy Na
4 2 1 1
direct
0.500 0.739 0.256 Se
0.000 0.744 0.747 Se
0.000 0.256 0.253 Se
0.500 0.261 0.744 Se
0.500 0.000 0.500 Ce
0.000 0.000 0.000 Ce
0.000 0.500 0.500 Dy
0.500 0.500 0.000 Na
```

**Formation energy without anion corrections**: -1.7085 eV per atom
**Volume**: 25.8 A^3/atom


Entry from the Alexandria database: an optimized crystal structure of Na2CeDySe4 (PBE).

The structure in POSCAR format:
```
Na2CeDySe4
1.0
-3.399 2.263 -1.084
-3.938 -3.470 5.101
3.069 6.036 2.977
Na Dy Se Ce
2 1 4 1
direct
0.500 0.000 0.500 Na
0.000 0.500 0.500 Na
0.500 0.500 0.000 Dy
0.500 0.252 0.234 Se
0.000 0.263 0.769 Se
0.500 0.748 0.766 Se
0.000 0.737 0.231 Se
0.000 0.000 0.000 Ce
```

**Formation energy without anion corrections**: -1.6577 eV per atom
**Volume**: 27.0 A^3/atom


Entry from the Alexandria database: an optimized crystal structure of Na3Ce2DySe6 (PBE).

The structure in POSCAR format:
```
Na3Ce2DySe6
1.0
7.367 -0.001 0.000
-3.683 6.380 0.000
-1.229 -2.128 6.973
Ce Na Se Dy
2 3 6 1
direct
0.667 0.333 0.000 Ce
0.333 0.667 0.000 Ce
0.500 0.500 0.500 Na
0.167 0.833 0.500 Na
0.833 0.167 0.500 Na
0.752 0.752 0.233 Se
0.078 0.404 0.234 Se
0.248 0.248 0.767 Se
0.922 0.596 0.766 Se
0.404 0.078 0.234 Se
0.596 0.922 0.766 Se
0.000 0.000 0.000 Dy
```

**Formation energy without anion corrections**: -1.6449 eV per atom
**Volume**: 27.3 A^3/atom


Entry from the Alexandria database: an optimized crystal structure of Na3CeDy2Se6 (PBE).

The structure in POSCAR format:
```
Na3CeDy2Se6
1.0
-4.615 5.267 -1.977
-0.050 -2.507 6.831
6.282 3.897 0.184
Na Se Dy Ce
3 6 2 1
direct
0.834 0.166 0.500 Na
0.166 0.834 0.500 Na
0.500 0.500 0.500 Na
0.923 0.581 0.769 Se
0.077 0.419 0.231 Se
0.736 0.736 0.232 Se
0.581 0.923 0.769 Se
0.264 0.264 0.768 Se
0.419 0.077 0.231 Se
0.667 0.333 0.000 Dy
0.333 0.667 0.000 Dy
0.000 0.000 0.000 Ce
```

**Formation energy without anion corrections**: -1.6741 eV per atom
**Volume**: 26.7 A^3/atom